# Ti3MnZn PBE relaxed
# - total magnetic moment (μB per cell) = 1.3
# - uncorrected energy (eV/atom) = -6.45
data_Ti3MnZn
_chemical_formula_sum 'Ti3 Mn1 Zn1'
_space_group_name_H-M_alt 'P m -3 m'
_space_group_IT_number 221
_space_group_name_Hall '-P 4 2 3'
_cell_length_a 4.4918
_cell_length_b 4.4918
_cell_length_c 4.4918
_cell_angle_alpha 90.00
_cell_angle_beta 90.00
_cell_angle_gamma 90.00
loop_
_atom_site_label
_atom_site_fract_x
_atom_site_fract_y
_atom_site_fract_z
Ti1 0.0000 0.0000 0.5000
Mn1 0.0000 0.0000 0.0000
Zn1 0.5000 0.5000 0.5000